Record 1
# Pm2Ho2Pb5 PBE-GGA relaxed
data_Pm2Ho2Pb5
_cell_length_a 16.638
_cell_length_b 8.200
_cell_length_c 8.211
_cell_angle_alpha 90.00
_cell_angle_beta 90.00
_cell_angle_gamma 90.00
_symmetry_space_group_name_H-M 'C m c e'
_symmetry_Int_Tables_number 64
_symmetry_space_group_name_Hall '-C 2ac 2'
loop_
_atom_site_label
_atom_site_type_symbol
_atom_site_fract_x
_atom_site_fract_y
_atom_site_fract_z
_atom_site_occupancy
Pm1 Pm 0.192 0.000 0.000 1
Ho1 Ho 0.000 0.162 0.338 1
Pb1 Pb 0.000 0.000 0.000 1
Pb2 Pb 0.134 0.135 0.635 1
# formation energy: -37.8 kJ per mole of atoms
# VASP energy: -40.728 eV/f.u.



Record 2
# PmHoPb2 PBE-GGA relaxed
data_PmHoPb2
_cell_length_a 4.558
_cell_length_b 4.485
_cell_length_c 6.313
_cell_angle_alpha 90.00
_cell_angle_beta 111.10
_cell_angle_gamma 90.00
_symmetry_space_group_name_H-M 'P 1 m 1'
_symmetry_Int_Tables_number 6
loop_
_symmetry_equiv_pos_as_xyz
'x,y,z'
'x,-y,z'
loop_
_atom_site_label
_atom_site_type_symbol
_atom_site_fract_x
_atom_site_fract_y
_atom_site_fract_z
_atom_site_occupancy
Pm1 Pm 0.000 0.000 0.000 1
Ho1 Ho 0.259 0.500 0.522 1
Pb1 Pb 0.531 0.500 0.062 1
Pb2 Pb 0.728 0.000 0.461 1
# formation energy: -48.4 kJ per mole of atoms
# VASP energy: -18.751 eV/f.u.



Record 3
# PmHo2Pb PBE-GGA relaxed
data_PmHo2Pb
_cell_length_a 4.895
_cell_length_b 4.895
_cell_length_c 4.858
_cell_angle_alpha 90.00
_cell_angle_beta 90.00
_cell_angle_gamma 90.00
_symmetry_space_group_name_H-M 'P 4/m m m'
_symmetry_Int_Tables_number 123
_symmetry_space_group_name_Hall '-P 4 2'
loop_
_atom_site_label
_atom_site_type_symbol
_atom_site_fract_x
_atom_site_fract_y
_atom_site_fract_z
_atom_site_occupancy
Pm1 Pm 0.000 0.000 0.000 1
Ho1 Ho 0.000 0.500 0.500 1
Pb1 Pb 0.500 0.500 0.000 1
# formation energy: -27.5 kJ per mole of atoms
# VASP energy: -18.756 eV/f.u.



Record 4
# PmHoPb2 PBE-GGA relaxed
data_PmHoPb2
_cell_length_a 5.057
_cell_length_b 5.057
_cell_length_c 4.505
_cell_angle_alpha 90.00
_cell_angle_beta 90.00
_cell_angle_gamma 90.00
_symmetry_space_group_name_H-M 'P 4/m m m'
_symmetry_Int_Tables_number 123
_symmetry_space_group_name_Hall '-P 4 2'
loop_
_atom_site_label
_atom_site_type_symbol
_atom_site_fract_x
_atom_site_fract_y
_atom_site_fract_z
_atom_site_occupancy
Pm1 Pm 0.000 0.000 0.000 1
Ho1 Ho 0.500 0.500 0.000 1
Pb1 Pb 0.000 0.500 0.500 1
# formation energy: -43.9 kJ per mole of atoms
# VASP energy: -18.565 eV/f.u.



Record 5
# Pm2Ho2Pb3 PBE-GGA relaxed
data_Pm2Ho2Pb3
_cell_length_a 12.579
_cell_length_b 5.253
_cell_length_c 6.530
_cell_angle_alpha 90.00
_cell_angle_beta 91.42
_cell_angle_gamma 90.00
_symmetry_space_group_name_H-M 'C 1 2/m 1'
_symmetry_Int_Tables_number 12
loop_
_symmetry_equiv_pos_as_xyz
'x,y,z'
'-x,-y,-z'
'-x,y,-z'
'x,-y,z'
'x+1/2,y+1/2,z'
'-x+1/2,-y+1/2,-z'
'-x+1/2,y+1/2,-z'
'x+1/2,-y+1/2,z'
loop_
_atom_site_label
_atom_site_type_symbol
_atom_site_fract_x
_atom_site_fract_y
_atom_site_fract_z
_atom_site_occupancy
Pm1 Pm 0.142 0.000 0.099 1
Ho1 Ho 0.074 0.500 0.735 1
Pb1 Pb 0.000 0.000 0.500 1
Pb2 Pb 0.239 0.500 0.338 1
# formation energy: -29.7 kJ per mole of atoms
# VASP energy: -31.933 eV/f.u.



Record 6
# PmHo2Pb PBE-GGA relaxed
data_PmHo2Pb
_cell_length_a 3.5442
_cell_length_b 3.5442
_cell_length_c 36.1639
_cell_angle_alpha 90.00
_cell_angle_beta 90.00
_cell_angle_gamma 120.00
_symmetry_space_group_name_H-M 'R -3 m'
_symmetry_Int_Tables_number 166
_symmetry_space_group_name_Hall '-R 3 2"'
loop_
_atom_site_label
_atom_site_type_symbol
_atom_site_fract_x
_atom_site_fract_y
_atom_site_fract_z
_atom_site_occupancy
Pm1 Pm 0.0000 0.0000 0.0000 1
Ho1 Ho 0.0000 0.0000 0.4126 1
Pb1 Pb 0.0000 0.0000 0.5000 1
# formation energy: 4.9 kJ per mole of atoms
# VASP energy: -17.413 eV/f.u.



Record 7
# Pm8Ho2Pb PBE-GGA relaxed
data_Pm8Ho2Pb
_cell_length_a 18.371
_cell_length_b 5.017
_cell_length_c 8.096
_cell_angle_alpha 90.00
_cell_angle_beta 105.58
_cell_angle_gamma 90.00
_symmetry_space_group_name_H-M 'C 1 2/m 1'
_symmetry_Int_Tables_number 12
loop_
_symmetry_equiv_pos_as_xyz
'x,y,z'
'-x,-y,-z'
'-x,y,-z'
'x,-y,z'
'x+1/2,y+1/2,z'
'-x+1/2,-y+1/2,-z'
'-x+1/2,y+1/2,-z'
'x+1/2,-y+1/2,z'
loop_
_atom_site_label
_atom_site_type_symbol
_atom_site_fract_x
_atom_site_fract_y
_atom_site_fract_z
_atom_site_occupancy
Pm1 Pm 0.044 0.000 0.228 1
Pm2 Pm 0.091 0.500 0.943 1
Pm3 Pm 0.138 0.000 0.681 1
Pm4 Pm 0.179 0.500 0.407 1
Ho1 Ho 0.224 0.000 0.133 1
Pb1 Pb 0.000 0.500 0.500 1
# formation energy: -7.7 kJ per mole of atoms
# VASP energy: -51.752 eV/f.u.



Record 8
# Pm8HoPb6 PBE-GGA relaxed
data_Pm8HoPb6
_cell_length_a 9.3766
_cell_length_b 9.3766
_cell_length_c 19.9989
_cell_angle_alpha 90.00
_cell_angle_beta 90.00
_cell_angle_gamma 120.00
_symmetry_space_group_name_H-M 'R -3'
_symmetry_Int_Tables_number 148
_symmetry_space_group_name_Hall '-R 3'
loop_
_atom_site_label
_atom_site_type_symbol
_atom_site_fract_x
_atom_site_fract_y
_atom_site_fract_z
_atom_site_occupancy
Pm1 Pm 0.0000 0.0000 0.1662 1
Pm2 Pm 0.0009 0.6642 0.3973 1
Ho1 Ho 0.0000 0.0000 0.5000 1
Pb1 Pb 0.9996 0.3286 0.4312 1
# formation energy: -37.4 kJ per mole of atoms
# VASP energy: -70.649 eV/f.u.



Record 9
# PmHoPb2 PBE-GGA relaxed
data_PmHoPb2
_cell_length_a 3.570
_cell_length_b 3.570
_cell_length_c 9.035
_cell_angle_alpha 90.00
_cell_angle_beta 90.00
_cell_angle_gamma 90.00
_symmetry_space_group_name_H-M 'P 4/m m m'
_symmetry_Int_Tables_number 123
_symmetry_space_group_name_Hall '-P 4 2'
loop_
_atom_site_label
_atom_site_type_symbol
_atom_site_fract_x
_atom_site_fract_y
_atom_site_fract_z
_atom_site_occupancy
Pm1 Pm 0.000 0.000 0.000 1
Ho1 Ho 0.000 0.000 0.500 1
Pb1 Pb 0.500 0.500 0.257 1
# formation energy: -44.4 kJ per mole of atoms
# VASP energy: -18.585 eV/f.u.



Record 10
# PmHo3Pb2 PBE-GGA relaxed
data_PmHo3Pb2
_cell_length_a 7.474
_cell_length_b 14.629
_cell_length_c 7.471
_cell_angle_alpha 90.00
_cell_angle_beta 90.00
_cell_angle_gamma 90.00
_symmetry_space_group_name_H-M 'I b a m'
_symmetry_Int_Tables_number 72
_symmetry_space_group_name_Hall '-I 2 2c'
loop_
_atom_site_label
_atom_site_type_symbol
_atom_site_fract_x
_atom_site_fract_y
_atom_site_fract_z
_atom_site_occupancy
Pm1 Pm 0.000 0.000 0.000 1
Ho1 Ho 0.000 0.210 0.250 1
Ho2 Ho 0.000 0.500 0.250 1
Pb1 Pb 0.179 0.356 0.000 1
# formation energy: -14.0 kJ per mole of atoms
# VASP energy: -26.772 eV/f.u.



Record 11
# Pm2HoPb3 PBE-GGA relaxed
data_Pm2HoPb3
_cell_length_a 5.004
_cell_length_b 15.291
_cell_length_c 9.104
_cell_angle_alpha 90.00
_cell_angle_beta 90.00
_cell_angle_gamma 90.00
_symmetry_space_group_name_H-M 'C m m m'
_symmetry_Int_Tables_number 65
_symmetry_space_group_name_Hall '-C 2 2'
loop_
_atom_site_label
_atom_site_type_symbol
_atom_site_fract_x
_atom_site_fract_y
_atom_site_fract_z
_atom_site_occupancy
Pm1 Pm 0.000 0.000 0.000 1
Pm2 Pm 0.000 0.000 0.500 1
Pm3 Pm 0.000 0.333 0.000 1
Ho1 Ho 0.000 0.332 0.500 1
Pb1 Pb 0.000 0.168 0.254 1
Pb2 Pb 0.000 0.500 0.254 1
# formation energy: -46.2 kJ per mole of atoms
# VASP energy: -28.075 eV/f.u.



Record 12
# PmHo3Pb3 PBE-GGA relaxed
data_PmHo3Pb3
_cell_length_a 8.769
_cell_length_b 13.381
_cell_length_c 7.861
_cell_angle_alpha 90.00
_cell_angle_beta 92.11
_cell_angle_gamma 90.00
_symmetry_space_group_name_H-M 'C 1 2/m 1'
_symmetry_Int_Tables_number 12
loop_
_symmetry_equiv_pos_as_xyz
'x,y,z'
'-x,-y,-z'
'-x,y,-z'
'x,-y,z'
'x+1/2,y+1/2,z'
'-x+1/2,-y+1/2,-z'
'-x+1/2,y+1/2,-z'
'x+1/2,-y+1/2,z'
loop_
_atom_site_label
_atom_site_type_symbol
_atom_site_fract_x
_atom_site_fract_y
_atom_site_fract_z
_atom_site_occupancy
Pm1 Pm 0.199 0.000 0.091 1
Ho1 Ho 0.000 0.283 0.000 1
Ho2 Ho 0.000 0.355 0.500 1
Ho3 Ho 0.138 0.000 0.629 1
Pb1 Pb 0.052 0.500 0.201 1
Pb2 Pb 0.157 0.180 0.323 1
# formation energy: -19.6 kJ per mole of atoms
# VASP energy: -31.030 eV/f.u.



Record 13
# PmPrHoPb PBE-GGA relaxed
data_PmPrHoPb
_cell_length_a 7.914
_cell_length_b 7.914
_cell_length_c 7.914
_cell_angle_alpha 90.00
_cell_angle_beta 90.00
_cell_angle_gamma 90.00
_symmetry_space_group_name_H-M 'F -4 3 m'
_symmetry_Int_Tables_number 216
_symmetry_space_group_name_Hall 'F -4 2 3'
loop_
_atom_site_label
_atom_site_type_symbol
_atom_site_fract_x
_atom_site_fract_y
_atom_site_fract_z
_atom_site_occupancy
Pm1 Pm 0.000 0.000 0.000 1
Pr1 Pr 0.000 0.000 0.500 1
Ho1 Ho 0.250 0.250 0.750 1
Pb1 Pb 0.250 0.250 0.250 1
# formation energy: -14.3 kJ per mole of atoms
# VASP energy: -18.408 eV/f.u.



Record 14
# PmHoRuPb PBE-GGA relaxed
data_PmHoRuPb
_cell_length_a 7.319
_cell_length_b 7.319
_cell_length_c 7.319
_cell_angle_alpha 90.00
_cell_angle_beta 90.00
_cell_angle_gamma 90.00
_symmetry_space_group_name_H-M 'F -4 3 m'
_symmetry_Int_Tables_number 216
_symmetry_space_group_name_Hall 'F -4 2 3'
loop_
_atom_site_label
_atom_site_type_symbol
_atom_site_fract_x
_atom_site_fract_y
_atom_site_fract_z
_atom_site_occupancy
Pm1 Pm 0.000 0.000 0.000 1
Ho1 Ho 0.000 0.000 0.500 1
Ru1 Ru 0.250 0.250 0.750 1
Pb1 Pb 0.250 0.250 0.250 1
# formation energy: -21.7 kJ per mole of atoms
# VASP energy: -23.214 eV/f.u.



Record 15
# PmHo4PbS8 PBE-GGA relaxed
data_PmHo4PbS8
_cell_length_a 8.1073
_cell_length_b 8.1073
_cell_length_c 20.2441
_cell_angle_alpha 90.00
_cell_angle_beta 90.00
_cell_angle_gamma 120.00
_symmetry_space_group_name_H-M 'R 3 m'
_symmetry_Int_Tables_number 160
_symmetry_space_group_name_Hall 'R 3 -2"'
loop_
_atom_site_label
_atom_site_type_symbol
_atom_site_fract_x
_atom_site_fract_y
_atom_site_fract_z
_atom_site_occupancy
Pm1 Pm 0.0000 0.0000 0.0000 1
Ho1 Ho 0.0000 0.0000 0.6237 1
Ho2 Ho 0.1690 0.3380 0.8306 1
Pb1 Pb 0.0000 0.0000 0.3714 1
S1 S 0.0000 0.0000 0.2326 1
S2 S 0.0000 0.0000 0.7558 1
S3 S 0.0308 0.5154 0.7555 1
S4 S 0.1745 0.3489 0.5765 1
# raw formation energy: -1.7610 eV/atom
# VASP energy: -84.443 eV/f.u.



Record 16
# PmHoSbPb PBE-GGA relaxed
data_PmHoSbPb
_cell_length_a 7.726
_cell_length_b 7.726
_cell_length_c 7.726
_cell_angle_alpha 90.00
_cell_angle_beta 90.00
_cell_angle_gamma 90.00
_symmetry_space_group_name_H-M 'F -4 3 m'
_symmetry_Int_Tables_number 216
_symmetry_space_group_name_Hall 'F -4 2 3'
loop_
_atom_site_label
_atom_site_type_symbol
_atom_site_fract_x
_atom_site_fract_y
_atom_site_fract_z
_atom_site_occupancy
Pm1 Pm 0.000 0.000 0.000 1
Ho1 Ho 0.000 0.000 0.500 1
Sb1 Sb 0.250 0.250 0.250 1
Pb1 Pb 0.250 0.250 0.750 1
# raw formation energy: -0.5606 eV/atom
# VASP energy: -19.401 eV/f.u.



Record 17
# PmSmHoPb PBE-GGA relaxed
data_PmSmHoPb
_cell_length_a 7.855
_cell_length_b 7.855
_cell_length_c 7.855
_cell_angle_alpha 90.00
_cell_angle_beta 90.00
_cell_angle_gamma 90.00
_symmetry_space_group_name_H-M 'F -4 3 m'
_symmetry_Int_Tables_number 216
_symmetry_space_group_name_Hall 'F -4 2 3'
loop_
_atom_site_label
_atom_site_type_symbol
_atom_site_fract_x
_atom_site_fract_y
_atom_site_fract_z
_atom_site_occupancy
Pm1 Pm 0.000 0.000 0.000 1
Sm1 Sm 0.000 0.000 0.500 1
Ho1 Ho 0.250 0.250 0.250 1
Pb1 Pb 0.250 0.250 0.750 1
# formation energy: -13.4 kJ per mole of atoms
# VASP energy: -18.311 eV/f.u.



Record 18
# Pm2Sm3Ho6Pb PBE-GGA relaxed
data_Pm2Sm3Ho6Pb
_cell_length_a 6.130
_cell_length_b 10.621
_cell_length_c 11.751
_cell_angle_alpha 90.00
_cell_angle_beta 100.08
_cell_angle_gamma 90.00
_symmetry_space_group_name_H-M 'C 1 2/m 1'
_symmetry_Int_Tables_number 12
loop_
_symmetry_equiv_pos_as_xyz
'x,y,z'
'-x,-y,-z'
'-x,y,-z'
'x,-y,z'
'x+1/2,y+1/2,z'
'-x+1/2,-y+1/2,-z'
'-x+1/2,y+1/2,-z'
'x+1/2,-y+1/2,z'
loop_
_atom_site_label
_atom_site_type_symbol
_atom_site_fract_x
_atom_site_fract_y
_atom_site_fract_z
_atom_site_occupancy
Pm1 Pm 0.000 0.166 0.000 1
Sm1 Sm 0.000 0.000 0.500 1
Sm2 Sm 0.000 0.332 0.500 1
Ho1 Ho 0.245 0.337 0.248 1
Ho2 Ho 0.245 0.500 0.751 1
Pb1 Pb 0.000 0.500 0.000 1
# formation energy: -6.3 kJ per mole of atoms
# VASP energy: -55.619 eV/f.u.



Record 19
# Tb6Pm3Ho2Pb PBE-GGA relaxed
data_Tb6Pm3Ho2Pb
_cell_length_a 6.162
_cell_length_b 10.681
_cell_length_c 11.707
_cell_angle_alpha 90.00
_cell_angle_beta 100.21
_cell_angle_gamma 90.00
_symmetry_space_group_name_H-M 'C 1 2/m 1'
_symmetry_Int_Tables_number 12
loop_
_symmetry_equiv_pos_as_xyz
'x,y,z'
'-x,-y,-z'
'-x,y,-z'
'x,-y,z'
'x+1/2,y+1/2,z'
'-x+1/2,-y+1/2,-z'
'-x+1/2,y+1/2,-z'
'x+1/2,-y+1/2,z'
loop_
_atom_site_label
_atom_site_type_symbol
_atom_site_fract_x
_atom_site_fract_y
_atom_site_fract_z
_atom_site_occupancy
Tb1 Tb 0.244 0.164 0.244 1
Tb2 Tb 0.247 0.000 0.753 1
Pm1 Pm 0.000 0.168 0.500 1
Pm2 Pm 0.000 0.500 0.500 1
Ho1 Ho 0.000 0.334 0.000 1
Pb1 Pb 0.000 0.000 0.000 1
# formation energy: -4.6 kJ per mole of atoms
# VASP energy: -55.469 eV/f.u.



Record 20
# TbPmHoPb PBE-GGA relaxed
data_TbPmHoPb
_cell_length_a 7.774
_cell_length_b 7.774
_cell_length_c 7.774
_cell_angle_alpha 90.00
_cell_angle_beta 90.00
_cell_angle_gamma 90.00
_symmetry_space_group_name_H-M 'F -4 3 m'
_symmetry_Int_Tables_number 216
_symmetry_space_group_name_Hall 'F -4 2 3'
loop_
_atom_site_label
_atom_site_type_symbol
_atom_site_fract_x
_atom_site_fract_y
_atom_site_fract_z
_atom_site_occupancy
Tb1 Tb 0.000 0.000 0.000 1
Pm1 Pm 0.250 0.250 0.250 1
Ho1 Ho 0.000 0.000 0.500 1
Pb1 Pb 0.250 0.250 0.750 1
# formation energy: -8.7 kJ per mole of atoms
# VASP energy: -18.030 eV/f.u.



Record 21
# Pm2Ho3Tm6Pb PBE-GGA relaxed
data_Pm2Ho3Tm6Pb
_cell_length_a 6.045
_cell_length_b 10.476
_cell_length_c 11.640
_cell_angle_alpha 90.00
_cell_angle_beta 100.01
_cell_angle_gamma 90.00
_symmetry_space_group_name_H-M 'C 1 2/m 1'
_symmetry_Int_Tables_number 12
loop_
_symmetry_equiv_pos_as_xyz
'x,y,z'
'-x,-y,-z'
'-x,y,-z'
'x,-y,z'
'x+1/2,y+1/2,z'
'-x+1/2,-y+1/2,-z'
'-x+1/2,y+1/2,-z'
'x+1/2,-y+1/2,z'
loop_
_atom_site_label
_atom_site_type_symbol
_atom_site_fract_x
_atom_site_fract_y
_atom_site_fract_z
_atom_site_occupancy
Pm1 Pm 0.000 0.166 0.000 1
Ho1 Ho 0.000 0.000 0.500 1
Ho2 Ho 0.000 0.333 0.500 1
Tm1 Tm 0.244 0.500 0.748 1
Tm2 Tm 0.247 0.336 0.251 1
Pb1 Pb 0.000 0.500 0.000 1
# formation energy: -6.0 kJ per mole of atoms
# VASP energy: -54.517 eV/f.u.



Record 22
# Pm2Ho6Tm3Pb PBE-GGA relaxed
data_Pm2Ho6Tm3Pb
_cell_length_a 6.062
_cell_length_b 10.504
_cell_length_c 11.693
_cell_angle_alpha 90.00
_cell_angle_beta 99.98
_cell_angle_gamma 90.00
_symmetry_space_group_name_H-M 'C 1 2/m 1'
_symmetry_Int_Tables_number 12
loop_
_symmetry_equiv_pos_as_xyz
'x,y,z'
'-x,-y,-z'
'-x,y,-z'
'x,-y,z'
'x+1/2,y+1/2,z'
'-x+1/2,-y+1/2,-z'
'-x+1/2,y+1/2,-z'
'x+1/2,-y+1/2,z'
loop_
_atom_site_label
_atom_site_type_symbol
_atom_site_fract_x
_atom_site_fract_y
_atom_site_fract_z
_atom_site_occupancy
Pm1 Pm 0.000 0.166 0.000 1
Ho1 Ho 0.244 0.500 0.747 1
Ho2 Ho 0.247 0.336 0.252 1
Tm1 Tm 0.000 0.000 0.500 1
Tm2 Tm 0.000 0.333 0.500 1
Pb1 Pb 0.000 0.500 0.000 1
# formation energy: -5.9 kJ per mole of atoms
# VASP energy: -54.826 eV/f.u.



Record 23
# Pr3HoPb2 PBE-GGA relaxed
data_Pr3HoPb2
_cell_length_a 5.015
_cell_length_b 16.549
_cell_length_c 4.549
_cell_angle_alpha 90.00
_cell_angle_beta 90.00
_cell_angle_gamma 90.00
_symmetry_space_group_name_H-M 'C m m m'
_symmetry_Int_Tables_number 65
_symmetry_space_group_name_Hall '-C 2 2'
loop_
_atom_site_label
_atom_site_type_symbol
_atom_site_fract_x
_atom_site_fract_y
_atom_site_fract_z
_atom_site_occupancy
Pr1 Pr 0.000 0.000 0.000 1
Pr2 Pr 0.000 0.323 0.000 1
Ho1 Ho 0.000 0.500 0.500 1
Pb1 Pb 0.000 0.148 0.500 1
# formation energy: -38.2 kJ per mole of atoms
# VASP energy: -28.708 eV/f.u.